1.
# Hf3Sn5Au

Crystalline Hf3Sn5Au at its relaxed geometry (PBE, the Open Quantum Materials Database).

Summary:
ρ: 9315 kg/m3
Final energy: -52.0 eV for the cell shown
Space-group type: No. 191
Magnetic moment: 0.5 μB/f.u.

POSCAR file:
```
Hf3Sn5Au
1.0
-1.585 -5.705 0.214
3.741 1.880 -4.192
6.014 -1.495 4.698
Au Hf Sn
1 3 5
direct
0.000 0.000 0.000
0.500 0.000 0.500
0.000 0.500 0.500
0.500 0.500 0.500
0.667 0.333 0.179
0.333 0.667 0.179
0.000 0.000 0.500
0.667 0.333 0.821
0.333 0.667 0.821
```

2.
# Hf2Sn3Au2

Crystalline Hf2Sn3Au2 at its relaxed geometry (PBE, the Open Quantum Materials Database).

Summary:
ρ: 11773 kg/m3
Final energy: -39.6 eV for the cell shown
Space-group type: No. 160
Magnetic moment: 0.0 μB/f.u.

POSCAR file:
```
Hf2Sn3Au2
1.0
-6.691 3.250 3.250
-3.250 3.250 6.691
-3.250 6.691 3.250
Au Hf Sn
2 2 3
direct
0.071 0.071 0.071
0.481 0.481 0.481
0.196 0.196 0.196
0.759 0.759 0.759
0.351 0.351 0.351
0.620 0.620 0.620
0.896 0.896 0.896
```

3.
# Hf3Sn2Au2

Crystalline Hf3Sn2Au2 at its relaxed geometry (PBE, the Open Quantum Materials Database).

Summary:
ρ: 12409 kg/m3
Final energy: -45.9 eV for the cell shown
Space-group type: No. 160
Magnetic moment: 0.0 μB/f.u.

POSCAR file:
```
Hf3Sn2Au2
1.0
-6.805 3.423 3.423
-3.423 3.423 6.805
-3.423 6.805 3.423
Au Hf Sn
2 3 2
direct
0.011 0.011 0.011
0.492 0.492 0.492
0.373 0.373 0.373
0.625 0.625 0.625
0.875 0.875 0.875
0.245 0.245 0.245
0.754 0.754 0.754
```

4.
# HfSnAu2

Crystalline HfSnAu2 at its relaxed geometry (PBE, the Open Quantum Materials Database).

Summary:
ρ: 14357 kg/m3
Final energy: -21.2 eV for the cell shown
Space-group type: No. 216
Magnetic moment: 0.0 μB/f.u.

POSCAR file:
```
HfSnAu2
1.0
0.000 3.419 3.419
3.419 0.000 3.419
3.419 3.419 0.000
Au Hf Sn
2 1 1
direct
0.000 0.000 0.000
0.750 0.750 0.750
0.250 0.250 0.250
0.500 0.500 0.500
```

5.
# Hf2SnAu

Crystalline Hf2SnAu at its relaxed geometry (PBE, the Open Quantum Materials Database).

Summary:
ρ: 13102 kg/m3
Final energy: -26.6 eV for the cell shown
Space-group type: No. 216
Magnetic moment: 1.7 μB/f.u.

POSCAR file:
```
Hf2SnAu
1.0
0.000 3.493 3.493
3.493 0.000 3.493
3.493 3.493 0.000
Au Hf Sn
1 2 1
direct
0.250 0.250 0.250
0.000 0.000 0.000
0.750 0.750 0.750
0.500 0.500 0.500
```

6.
# Hf2ZrSn4Au4

Crystalline Hf2ZrSn4Au4 at its relaxed geometry (PBE, the Open Quantum Materials Database).

Summary:
ρ: 10536 kg/m3
Final energy: -61.9 eV for the cell shown
Space-group type: No. 121
Magnetic moment: 0.0 μB/f.u.

POSCAR file:
```
Hf2ZrSn4Au4
1.0
7.750 0.080 1.536
1.334 4.388 6.434
-5.025 -5.945 -1.354
Au Hf Sn Zr
4 2 4 1
direct
0.887 0.371 0.000
0.371 0.887 0.000
0.113 0.113 0.483
0.629 0.629 0.517
0.750 0.250 0.500
0.250 0.750 0.500
0.263 0.263 0.000
0.737 0.737 0.000
0.500 0.000 0.500
0.000 0.500 0.500
0.000 0.000 0.000
```

7.
# Sr2HfAu

Crystalline Sr2HfAu at its relaxed geometry (PBE, the Open Quantum Materials Database).

Summary:
ρ: 8243 kg/m3
Final energy: -15.0 eV for the cell shown
Space-group type: No. 216
Magnetic moment: 1.1 μB/f.u.

POSCAR file:
```
Sr2HfAu
1.0
0.000 3.814 3.814
3.814 0.000 3.814
3.814 3.814 0.000
Au Hf Sr
1 1 2
direct
0.500 0.500 0.500
0.250 0.250 0.250
0.000 0.000 0.000
0.750 0.750 0.750
```

8.
# Hf2TaAu

Crystalline Hf2TaAu at its relaxed geometry (PBE, the Open Quantum Materials Database).

Summary:
ρ: 15962 kg/m3
Space-group type: No. 216
ΔH_f (0 K): 53 meV per atom
Magnetic moment: 0.0 μB/f.u.

POSCAR file:
```
Hf2TaAu
1.0
0.000 3.369 3.369
3.369 0.000 3.369
3.369 3.369 0.000
Au Hf Ta
1 2 1
direct
0.250 0.250 0.250
0.000 0.000 0.000
0.750 0.750 0.750
0.500 0.500 0.500
```

9.
# TbHfAu6

Crystalline TbHfAu6 at its relaxed geometry (PBE, the Open Quantum Materials Database).

Summary:
ρ: 16393 kg/m3
Space-group type: No. 25
ΔH_f (0 K): -599 meV per atom
Magnetic moment: 0.0 μB/f.u.

POSCAR file:
```
TbHfAu6
1.0
-2.393 -3.956 -1.744
5.310 -3.122 -0.205
-0.769 -1.619 4.725
Au Hf Tb
6 1 1
direct
0.000 0.500 0.171
0.500 0.235 0.336
0.500 0.765 0.336
0.000 0.242 0.660
0.000 0.758 0.660
0.500 0.000 0.845
0.000 0.000 0.153
0.500 0.500 0.839
```

10.
# HfTcAu

Crystalline HfTcAu at its relaxed geometry (PBE, the Open Quantum Materials Database).

Summary:
ρ: 12883 kg/m3
Space-group type: No. 216
ΔH_f (0 K): 453 meV per atom
Magnetic moment: 0.1 μB/f.u.

POSCAR file:
```
HfTcAu
1.0
-0.388 -4.349 0.684
-3.903 -1.989 -0.582
-0.600 -2.730 -3.423
Au Hf Tc
1 1 1
direct
0.250 0.250 0.250
0.000 0.000 0.000
0.750 0.750 0.750
```

11.
# HfTcAu

Crystalline HfTcAu at its relaxed geometry (PBE, the Open Quantum Materials Database).

Summary:
ρ: 12683 kg/m3
Space-group type: No. 216
ΔH_f (0 K): 433 meV per atom
Magnetic moment: 1.4 μB/f.u.

POSCAR file:
```
HfTcAu
1.0
0.000 3.141 3.141
3.141 0.000 3.141
3.141 3.141 0.000
Au Hf Tc
1 1 1
direct
0.250 0.250 0.250
0.750 0.750 0.750
0.000 0.000 0.000
```

12.
# HfTeAu

Crystalline HfTeAu at its relaxed geometry (PBE, the Open Quantum Materials Database).

Summary:
ρ: 11177 kg/m3
Final energy: -15.8 eV for the cell shown
Space-group type: No. 216
Magnetic moment: 0.1 μB/f.u.

POSCAR file:
```
HfTeAu
1.0
0.000 3.343 3.343
3.343 0.000 3.343
3.343 3.343 0.000
Au Hf Te
1 1 1
direct
0.250 0.250 0.250
0.750 0.750 0.750
0.000 0.000 0.000
```